SnPtAu2: optimized geometry, GGA-PBE.

* space-group type: No. 216
* total magnetization: 0.00 μB/cell

```
16
Lattice="6.6612 0.0000 0.0000 0.0000 6.6612 0.0000 0.0000 0.0000 6.6612" Properties=species:S:1:pos:R:3 pbc="T T T"
Sn 0.0000 0.0000 0.0000
Sn 0.0000 3.3306 3.3306
Sn 3.3306 0.0000 3.3306
Sn 3.3306 3.3306 0.0000
Pt 1.6653 1.6653 1.6653
Pt 1.6653 4.9959 4.9959
Pt 4.9959 1.6653 4.9959
Pt 4.9959 4.9959 1.6653
Au 0.0000 0.0000 3.3306
Au 0.0000 3.3306 0.0000
Au 1.6653 1.6653 4.9959
Au 1.6653 4.9959 1.6653
Au 3.3306 0.0000 0.0000
Au 3.3306 3.3306 3.3306
Au 4.9959 1.6653 1.6653
Au 4.9959 4.9959 4.9959
```

---

Sr2TaAlO6: optimized geometry, GGA-PBE.

* space-group type: No. 225
* total magnetization: 0.00 μB/cell

```
10
Lattice="0.0000 3.8969 3.8969 3.8969 0.0000 3.8969 3.8969 3.8969 0.0000" Properties=species:S:1:pos:R:3 pbc="T T T"
Sr 1.9484 1.9484 1.9484
Sr 5.8453 5.8453 5.8453
Ta 0.0000 0.0000 0.0000
Al 3.8969 3.8969 3.8969
O 3.8969 3.8969 1.9858
O 3.8969 1.9858 3.8969
O 5.8080 3.8969 3.8969
O 1.9858 3.8969 3.8969
O 3.8969 5.8080 3.8969
O 3.8969 3.8969 5.8080
```

---

Dy2TmAl3AgPt2: optimized geometry, GGA-PBE.

* space-group type: No. 38
* total magnetization: 0.00 μB/cell

```
9
Lattice="3.8890 0.0000 0.0000 0.0000 6.3480 3.6771 0.0000 -6.3480 3.6771" Properties=species:S:1:pos:R:3 pbc="T T T"
Dy 0.0000 -3.7191 3.6771
Dy 0.0000 3.7191 3.6771
Tm 0.0000 0.0000 4.5754
Al 1.9445 -1.6452 2.4883
Al 1.9445 1.6452 2.4883
Al 1.9445 0.0000 6.9640
Ag 0.0000 0.0000 1.5417
Pt 1.9445 -2.0954 5.1979
Pt 1.9445 2.0954 5.1979
```

---

HoTaAsO: optimized geometry, GGA-PBE.

* space-group type: No. 129
* total magnetization: 0.00 μB/cell

```
8
Lattice="4.0929 0.0000 0.0000 0.0000 4.0929 0.0000 0.0000 0.0000 7.8754" Properties=species:S:1:pos:R:3 pbc="T T T"
Ho 1.0232 3.0697 0.0000
Ho 3.0697 1.0232 0.0000
Ta 1.0232 1.0232 3.0863
Ta 3.0697 3.0697 4.7892
As 1.0232 1.0232 5.8707
As 3.0697 3.0697 2.0047
O 1.0232 3.0697 3.9377
O 3.0697 1.0232 3.9377
```

---

ScNbCo2Bi2: optimized geometry, GGA-PBE.

* space-group type: No. 31
* total magnetization: 0.00 μB/cell

```
12
Lattice="4.3413 0.0000 0.0000 0.0000 8.6717 0.0000 0.0000 0.0000 6.1445" Properties=species:S:1:pos:R:3 pbc="T T T"
Sc 0.0000 1.0880 0.0000
Sc 2.1706 7.5837 3.0723
Nb 0.0000 5.4196 0.1400
Nb 2.1706 3.2521 3.2123
Co 0.0000 3.3447 1.7090
Co 0.0000 7.4526 1.5062
Co 2.1706 1.2191 4.5785
Co 2.1706 5.3270 4.7813
Bi 0.0000 1.0472 3.0652
Bi 0.0000 5.4502 3.2334
Bi 2.1706 3.2215 0.1612
Bi 2.1706 7.6246 6.1374
```

---

PtS2: optimized geometry, GGA-PBE.

* space-group type: No. 38
* total magnetization: 0.00 μB/cell

```
12
Lattice="22.7871 0.0000 0.0000 0.0000 1.7903 3.0686 0.0000 -1.7903 3.0686" Properties=species:S:1:pos:R:3 pbc="T T T"
Pt 0.0000 0.0000 0.0000
Pt 5.4847 0.0000 4.2032
Pt 11.3935 0.0000 2.7088
Pt 17.3024 0.0000 4.2032
S 1.3404 0.0000 2.2133
S 4.2490 0.0000 0.1166
S 6.7237 0.0000 2.1512
S 10.0482 0.0000 4.9319
S 12.7388 0.0000 4.9319
S 16.0633 0.0000 2.1512
S 18.5380 0.0000 0.1166
S 21.4466 0.0000 2.2133
```

---

LiInNiMo: optimized geometry, GGA-PBE.

* space-group type: No. 216
* total magnetization: 8.92 μB/cell

```
16
Lattice="6.2677 0.0000 0.0000 0.0000 6.2677 0.0000 0.0000 0.0000 6.2677" Properties=species:S:1:pos:R:3 pbc="T T T"
Li 0.0000 0.0000 0.0000
Li 0.0000 3.1339 3.1339
Li 3.1339 0.0000 3.1339
Li 3.1339 3.1339 0.0000
In 0.0000 0.0000 3.1339
In 0.0000 3.1339 0.0000
In 3.1339 0.0000 0.0000
In 3.1339 3.1339 3.1339
Ni 1.5669 1.5669 4.7008
Ni 1.5669 4.7008 1.5669
Ni 4.7008 1.5669 1.5669
Ni 4.7008 4.7008 4.7008
Mo 1.5669 1.5669 1.5669
Mo 1.5669 4.7008 4.7008
Mo 4.7008 1.5669 4.7008
Mo 4.7008 4.7008 1.5669
```

---

Na2Pr3Te4Cl3O12: optimized geometry, GGA-PBE.

* space-group type: No. 15
* total magnetization: 0.00 μB/cell

```
48
Lattice="11.9544 -2.8613 0.0000 11.9544 2.8613 0.0000 -11.7669 0.0000 12.1481" Properties=species:S:1:pos:R:3 pbc="T T T"
Na 2.7590 0.3185 0.7403
Na -3.1245 -0.3185 6.8143
Na 15.2663 0.3185 5.3338
Na 9.3828 -0.3185 11.4078
Pr 9.0126 2.8439 3.0370
Pr 1.0727 0.0143 7.1374
Pr 6.9562 -0.0143 1.0634
Pr 5.1856 0.0143 11.0847
Pr 11.0691 -0.0143 5.0107
Pr 3.1292 -2.8439 9.1111
Te -4.8686 0.3045 9.7204
Te 1.0148 -0.3045 3.6463
Te 4.5530 0.3547 7.1421
Te 1.7053 0.3547 11.0800
Te 10.4365 -0.3547 1.0681
Te 7.5888 -0.3547 5.0060
Te 11.1270 0.3045 8.5018
Te 17.0104 -0.3045 2.4277
Cl 0.0000 0.0000 0.0000
Cl -5.8834 0.0000 6.0740
Cl -1.8127 0.0226 10.1331
Cl 4.0708 -0.0226 4.0591
Cl 8.0711 0.0226 8.0890
Cl 13.9545 -0.0226 2.0150
O 4.7928 1.3261 0.9834
O 0.7161 1.0794 4.9047
O 6.8423 1.9205 2.5773
O 3.0842 1.5623 6.9102
O 9.2038 1.0885 1.3203
O 1.4934 0.9807 9.2968
O 11.1829 1.9205 3.4968
O 3.1741 1.5623 11.3119
O 8.8215 1.0885 4.7537
O 4.7649 0.9807 8.9253
O -5.1673 -1.0794 10.9788
O -1.0906 -1.3261 7.0574
O 13.2324 1.3261 5.0907
O 17.3091 1.0794 1.1693
O 7.3769 -0.9807 3.2228
O 3.3203 -1.0885 7.3944
O 8.9677 -1.5623 0.8362
O 0.9589 -1.9205 8.6513
O 10.6484 -0.9807 2.8513
O 2.9380 -1.0885 10.8278
O 9.0576 -1.5623 5.2379
O 5.2995 -1.9205 9.5708
O 11.4257 -1.0794 7.2434
O 7.3490 -1.3261 11.1647
```

---

Number 1: energy -4.24 eV/atom. Number 2: energy -7.94 eV/atom. Number 3: energy -5.31 eV/atom. Number 4: energy -7.28 eV/atom. Number 5: energy -6.75 eV/atom. Number 6: energy -4.83 eV/atom. Number 7: energy -4.86 eV/atom. Number 8: energy -5.93 eV/atom.